! Ba4NaIr3O12, optimized geometry, DFT PBEsol; values from VASP
&SYSTEM
  ibrav = 0, nat = 20, ntyp = 4
/
ATOMIC_SPECIES
Ba 137.33 Ba.upf
Na 22.99 Na.upf
Ir 192.22 Ir.upf
O 16.00 O.upf
CELL_PARAMETERS angstrom
-4.0776 4.0776 4.0776
4.0776 -4.0776 4.0776
4.0776 4.0776 -4.0776
ATOMIC_POSITIONS crystal
Ba 0.0000 0.0000 0.5000
Ba 0.0000 0.5000 0.0000
Ba 0.5000 0.0000 0.0000
Ba 0.5000 0.5000 0.5000
Na 0.0000 0.0000 0.0000
Ir 0.0000 0.5000 0.5000
Ir 0.5000 0.0000 0.5000
Ir 0.5000 0.5000 0.0000
O 0.0000 0.2681 0.2681
O 0.0000 0.7319 0.7319
O 0.2500 0.5000 0.7500
O 0.2500 0.7500 0.5000
O 0.2681 0.0000 0.2681
O 0.2681 0.2681 0.0000
O 0.5000 0.2500 0.7500
O 0.5000 0.7500 0.2500
O 0.7319 0.0000 0.7319
O 0.7319 0.7319 0.0000
O 0.7500 0.2500 0.5000
O 0.7500 0.5000 0.2500
! Fermi-level density of states (states/eV/cell): 10.3
! Energy relative to the elements, uncorrected (eV/atom): -1.64
! Crystal system: cubic

***

! Gd3Sb5O12, optimized geometry, DFT PBEsol; values from VASP
&SYSTEM
  ibrav = 0, nat = 40, ntyp = 3
/
ATOMIC_SPECIES
Gd 157.25 Gd.upf
Sb 121.76 Sb.upf
O 16.00 O.upf
CELL_PARAMETERS angstrom
-5.3974 5.3974 5.3974
5.3974 -5.3974 5.3974
5.3974 5.3974 -5.3974
ATOMIC_POSITIONS crystal
Gd 0.2500 0.5000 0.7500
Gd 0.2500 0.7500 0.5000
Gd 0.5000 0.2500 0.7500
Gd 0.5000 0.7500 0.2500
Gd 0.7500 0.2500 0.5000
Gd 0.7500 0.5000 0.2500
Sb 0.0000 0.0000 0.4845
Sb 0.0000 0.2781 0.2781
Sb 0.0000 0.4845 0.0000
Sb 0.0000 0.7219 0.7219
Sb 0.2781 0.0000 0.2781
Sb 0.2781 0.2781 0.0000
Sb 0.4845 0.0000 0.0000
Sb 0.5155 0.5155 0.5155
Sb 0.7219 0.0000 0.7219
Sb 0.7219 0.7219 0.0000
O 0.0000 0.2904 0.4936
O 0.0000 0.4936 0.2904
O 0.0000 0.5239 0.7995
O 0.0000 0.7995 0.5239
O 0.2005 0.2005 0.7244
O 0.2005 0.7244 0.2005
O 0.2032 0.7096 0.7096
O 0.2756 0.4761 0.4761
O 0.2904 0.0000 0.4936
O 0.2904 0.4936 0.0000
O 0.4761 0.2756 0.4761
O 0.4761 0.4761 0.2756
O 0.4936 0.0000 0.2904
O 0.4936 0.2904 0.0000
O 0.5064 0.5064 0.7968
O 0.5064 0.7968 0.5064
O 0.5239 0.0000 0.7995
O 0.5239 0.7995 0.0000
O 0.7096 0.2032 0.7096
O 0.7096 0.7096 0.2032
O 0.7244 0.2005 0.2005
O 0.7968 0.5064 0.5064
O 0.7995 0.0000 0.5239
O 0.7995 0.5239 0.0000
! Fermi-level density of states (states/eV/cell): 0.0
! Energy relative to the elements, uncorrected (eV/atom): -2.23
! Crystal system: cubic